This record from OQMD via LeMat-Bulk describes ZnCuTcHg after structural relaxation. The functional is PBE.

Cell: 6.3150 6.3150 6.3150 Å, 90.00 90.00 90.00°
Closest atoms and distances in Å follow each position.
Space group F-43m (No. 216)
Unique sites:
Zn  0.0000  0.0000  0.0000 (multiplicity 4)  4 Tc 2.73, 4 Cu 2.73
Cu  0.2500  0.2500  0.2500 (multiplicity 4)  4 Hg 2.73, 4 Zn 2.73
Tc  0.2500  0.2500  0.7500 (multiplicity 4)  4 Hg 2.73, 4 Zn 2.73
Hg  0.0000  0.0000  0.5000 (multiplicity 4)  4 Tc 2.73, 4 Cu 2.73

**Excess energy over the best structure of this formula in the dataset**: 0 meV/atom
**Energy relative to the elements**: 0.458 eV per atom



This record from OQMD via LeMat-Bulk describes YCuHgTe3 after structural relaxation. The functional is PBE.

Cell: 4.0791 14.9294 11.2143 Å, 90.00 90.00 90.00°
Closest atoms and distances in Å follow each position.
Space group Cmcm (No. 63)
Unique sites:
Y  0.0000  0.0000  0.0000 (multiplicity 4)  6 Te 3.05-3.11
Cu  0.0000  0.4735  0.2500 (multiplicity 4)  4 Te 2.61-2.67
Hg  0.0000  0.2499  0.7500 (multiplicity 4)  6 Te 3.15-3.26
Te  0.0000  0.0894  0.2500 (multiplicity 4)  2 Cu 2.67
Te  0.0000  0.3585  0.0746 (multiplicity 8)  1 Cu 2.61

**VASP energy**: -92.562 eV per cell



This record from OQMD via LeMat-Bulk describes Th2Cu4Hg after structural relaxation. The functional is PBE.

Cell: 7.8874 11.1796 3.9267 Å, 90.00 90.00 90.00°
Closest atoms and distances in Å follow each position.
Space group Cmmm (No. 65)
Unique sites:
Th  0.2500  0.2500  0.0000 (multiplicity 4)  6 Cu 2.78-2.80
Cu  0.0000  0.2437  0.5000 (multiplicity 4)  1 Hg 2.72, 4 Th 2.78
Cu  0.2419  0.0000  0.0000 (multiplicity 4)  2 Hg 2.74, 2 Th 2.80
Hg  0.0000  0.0000  0.5000 (multiplicity 2)  6 Cu 2.72-2.74

**Energy relative to the elements**: 0.619 eV per atom



This record from OQMD via LeMat-Bulk describes TlCuHgW after structural relaxation. The functional is PBE.

Cell: 6.7451 6.7451 6.7451 Å, 90.00 90.00 90.00°
Closest atoms and distances in Å follow each position.
Space group F-43m (No. 216)
Unique sites:
Tl  0.0000  0.0000  0.0000 (multiplicity 4)  4 Hg 2.92, 4 Cu 2.92
Cu  0.2500  0.2500  0.7500 (multiplicity 4)  4 Tl 2.92, 4 W 2.92
Hg  0.2500  0.2500  0.2500 (multiplicity 4)  4 Tl 2.92, 4 W 2.92
W  0.0000  0.0000  0.5000 (multiplicity 4)  4 Hg 2.92, 4 Cu 2.92

**Excess energy over the best structure of this formula in the dataset**: 131 meV/atom



This record from OQMD via LeMat-Bulk describes TlCuHgW after structural relaxation. The functional is PBE.

Cell: 6.7070 6.7070 6.7070 Å, 90.00 90.00 90.00°
Closest atoms and distances in Å follow each position.
Space group F-43m (No. 216)
Unique sites:
Tl  0.0000  0.0000  0.0000 (multiplicity 4)  4 W 2.90, 4 Cu 2.90
Cu  0.2500  0.2500  0.2500 (multiplicity 4)  4 Hg 2.90, 4 Tl 2.90
Hg  0.0000  0.0000  0.5000 (multiplicity 4)  4 W 2.90, 4 Cu 2.90
W  0.2500  0.2500  0.7500 (multiplicity 4)  4 Hg 2.90, 4 Tl 2.90

**Excess energy over the best structure of this formula in the dataset**: 0 meV/atom



This record from OQMD via LeMat-Bulk describes YTlCuHg after structural relaxation. The functional is PBE.

Cell: 7.0794 7.0794 7.0794 Å, 90.00 90.00 90.00°
Closest atoms and distances in Å follow each position.
Space group F-43m (No. 216)
Unique sites:
Y  0.0000  0.0000  0.0000 (multiplicity 4)  4 Hg 3.07, 4 Cu 3.07
Tl  0.0000  0.0000  0.5000 (multiplicity 4)  4 Cu 3.07, 4 Hg 3.07
Cu  0.2500  0.2500  0.7500 (multiplicity 4)  4 Tl 3.07, 4 Y 3.07
Hg  0.2500  0.2500  0.2500 (multiplicity 4)  4 Tl 3.07, 4 Y 3.07

**Excess energy over the best structure of this formula in the dataset**: 0 meV/atom



This record from OQMD via LeMat-Bulk describes YTlCuHg after structural relaxation. The functional is PBE.

Cell: 7.0676 7.0676 7.0676 Å, 90.00 90.00 90.00°
Closest atoms and distances in Å follow each position.
Space group F-43m (No. 216)
Unique sites:
Y  0.0000  0.0000  0.0000 (multiplicity 4)  4 Hg 3.06, 4 Tl 3.06
Tl  0.2500  0.2500  0.2500 (multiplicity 4)  4 Cu 3.06, 4 Y 3.06
Cu  0.0000  0.0000  0.5000 (multiplicity 4)  4 Tl 3.06, 4 Hg 3.06
Hg  0.2500  0.2500  0.7500 (multiplicity 4)  4 Cu 3.06, 4 Y 3.06

**Excess energy over the best structure of this formula in the dataset**: 18 meV/atom



This record from OQMD via LeMat-Bulk describes TlZnCuHg after structural relaxation. The functional is PBE.

Cell: 6.8867 6.8867 6.8867 Å, 90.00 90.00 90.00°
Closest atoms and distances in Å follow each position.
Space group F-43m (No. 216)
Unique sites:
Tl  0.0000  0.0000  0.0000 (multiplicity 4)  4 Cu 2.98, 4 Zn 2.98
Zn  0.2500  0.2500  0.7500 (multiplicity 4)  4 Hg 2.98, 4 Tl 2.98
Cu  0.2500  0.2500  0.2500 (multiplicity 4)  4 Hg 2.98, 4 Tl 2.98
Hg  0.0000  0.0000  0.5000 (multiplicity 4)  4 Cu 2.98, 4 Zn 2.98

**Excess energy over the best structure of this formula in the dataset**: 0 meV/atom



This record from OQMD via LeMat-Bulk describes TmCuHg after structural relaxation. The functional is PBE.

Cell: 6.6450 6.6450 6.6450 Å, 90.00 90.00 90.00°
Closest atoms and distances in Å follow each position.
Space group F-43m (No. 216)
Unique sites:
Tm  0.0000  0.0000  0.0000 (multiplicity 4)  4 Hg 2.88, 4 Cu 2.88
Cu  0.2500  0.2500  0.7500 (multiplicity 4)  4 Tm 2.88
Hg  0.2500  0.2500  0.2500 (multiplicity 4)  4 Tm 2.88

**Energy relative to the elements**: 0.158 eV per atom



This record from OQMD via LeMat-Bulk describes TmCuHg after structural relaxation. The functional is PBE.

Cell: 6.4147 6.4147 6.4147 Å, 90.00 90.00 90.00°
Closest atoms and distances in Å follow each position.
Space group F-43m (No. 216)
Unique sites:
Tm  0.0000  0.0000  0.0000 (multiplicity 4)  4 Cu 2.78
Cu  0.2500  0.2500  0.7500 (multiplicity 4)  4 Hg 2.78, 4 Tm 2.78
Hg  0.0000  0.0000  0.5000 (multiplicity 4)  4 Cu 2.78

**Energy relative to the elements**: -0.191 eV per atom



This record from OQMD via LeMat-Bulk describes ZnCuHgW after structural relaxation. The functional is PBE.

Cell: 6.3819 6.3819 6.3819 Å, 90.00 90.00 90.00°
Closest atoms and distances in Å follow each position.
Space group F-43m (No. 216)
Unique sites:
Zn  0.0000  0.0000  0.0000 (multiplicity 4)  4 Hg 2.76, 4 Cu 2.76
Cu  0.2500  0.2500  0.2500 (multiplicity 4)  4 Zn 2.76, 4 W 2.76
Hg  0.2500  0.2500  0.7500 (multiplicity 4)  4 W 2.76, 4 Zn 2.76
W  0.0000  0.0000  0.5000 (multiplicity 4)  4 Cu 2.76, 4 Hg 2.76

**Excess energy over the best structure of this formula in the dataset**: 22 meV/atom
**Energy relative to the elements**: 0.792 eV per atom



This record from OQMD via LeMat-Bulk describes ZnCuHgW after structural relaxation. The functional is PBE.

Cell: 6.3776 6.3776 6.3776 Å, 90.00 90.00 90.00°
Closest atoms and distances in Å follow each position.
Space group F-43m (No. 216)
Unique sites:
Zn  0.0000  0.0000  0.0000 (multiplicity 4)  4 W 2.76, 4 Cu 2.76
Cu  0.2500  0.2500  0.2500 (multiplicity 4)  4 Hg 2.76, 4 Zn 2.76
Hg  0.0000  0.0000  0.5000 (multiplicity 4)  4 Cu 2.76, 4 W 2.76
W  0.2500  0.2500  0.7500 (multiplicity 4)  4 Hg 2.76, 4 Zn 2.76

**Excess energy over the best structure of this formula in the dataset**: 0 meV/atom
**Energy relative to the elements**: 0.770 eV per atom



This record from OQMD via LeMat-Bulk describes Zr4CuHg after structural relaxation. The functional is PBE.

Cell: 3.1958 3.1958 12.2649 Å, 90.00 90.00 90.00°
Closest atoms and distances in Å follow each position.
Space group P4/mmm (No. 123)
Unique sites:
Zr  0.0000  0.0000  0.1414 (multiplicity 2)  4 Cu 2.85, 4 Zr 3.16
Zr  0.5000  0.5000  0.3215 (multiplicity 2)  4 Hg 3.15, 8 Zr 3.16-3.20
Cu  0.5000  0.5000  0.0000 (multiplicity 1)  8 Zr 2.85
Hg  0.0000  0.0000  0.5000 (multiplicity 1)  8 Zr 3.15, 4 Hg 3.20

**Energy relative to the elements**: -0.148 eV per atom



This record from OQMD via LeMat-Bulk describes ZrCuHg2 after structural relaxation. The functional is PBE.

Cell: 6.7472 6.7472 6.7472 Å, 90.00 90.00 90.00°
Closest atoms and distances in Å follow each position.
Space group F-43m (No. 216)
Unique sites:
Zr  0.0000  0.0000  0.0000 (multiplicity 4)  4 Hg 2.92, 4 Cu 2.92
Cu  0.2500  0.2500  0.2500 (multiplicity 4)  4 Hg 2.92, 4 Zr 2.92
Hg  0.0000  0.0000  0.5000 (multiplicity 4)  4 Hg 2.92, 4 Cu 2.92
Hg  0.2500  0.2500  0.7500 (multiplicity 4)  4 Hg 2.92, 4 Zr 2.92

**Energy relative to the elements**: 0.037 eV per atom



This record from OQMD via LeMat-Bulk describes Ho2Cu after structural relaxation. The functional is PBE.

Cell: 8.5900 8.5900 8.5900 Å, 90.00 90.00 90.00°
Closest atoms and distances in Å follow each position.
Space group Fd-3m (No. 227, origin choice 2)
Unique sites:
Ho  0.0000  0.0000  0.0000 (multiplicity 16)  6 Ho 3.04
Cu  0.1250  0.1250  0.6250 (multiplicity 8)  12 Ho 3.56, 4 Cu 3.72

**Energy relative to the elements**: 0.735 eV per atom



This record from OQMD via LeMat-Bulk describes Ho2Cu after structural relaxation. The functional is PBE.

Cell: 11.8021 11.8021 11.8021 Å, 90.00 90.00 90.00°
Closest atoms and distances in Å follow each position.
Space group Fd-3m (No. 227, origin choice 2)
Unique sites:
Ho  0.0000  0.0000  0.0000 (multiplicity 16)  2 Cu 2.56
Cu  0.1250  0.1250  0.1250 (multiplicity 8)  4 Ho 2.56

**Energy relative to the elements**: 1.348 eV per atom



This record from OQMD via LeMat-Bulk describes Ho3In3CuIr2 after structural relaxation. The functional is PBE.

Cell: 7.5636 7.5636 3.8260 Å, 90.00 90.00 120.00°
Closest atoms and distances in Å follow each position.
Space group P-62m (No. 189)
Unique sites:
Ho  0.0000  0.5859  0.0000 (multiplicity 3)  4 Ir 2.97, 1 Cu 3.13, 2 In 3.16
In  0.0000  0.2532  0.5000 (multiplicity 3)  2 Cu 2.71, 2 Ir 2.87
Cu  0.0000  0.0000  0.0000 (multiplicity 1)  6 In 2.71
Ir  0.3333  0.6667  0.5000 (multiplicity 2)  3 In 2.87, 6 Ho 2.97

**VASP energy**: -49.074 eV per cell



This record from OQMD via LeMat-Bulk describes Ho3In3Cu2Ir after structural relaxation. The functional is PBE.

Cell: 7.4550 7.4550 3.9807 Å, 90.00 90.00 120.00°
Closest atoms and distances in Å follow each position.
Space group P-62m (No. 189)
Unique sites:
Ho  0.0000  0.5990  0.0000 (multiplicity 3)  1 Ir 2.99, 4 Cu 3.02, 6 In 3.20-3.30
In  0.0000  0.2629  0.5000 (multiplicity 3)  2 Cu 2.78, 2 Ir 2.79
Cu  0.3333  0.6667  0.5000 (multiplicity 2)  3 In 2.78, 6 Ho 3.02
Ir  0.0000  0.0000  0.0000 (multiplicity 1)  6 In 2.79, 3 Ho 2.99

**VASP energy**: -42.533 eV per cell



This record from OQMD via LeMat-Bulk describes TbHo2In3CuIr2 after structural relaxation. The functional is PBE.

Cell: 3.8074 13.1909 7.5878 Å, 90.00 90.00 90.00°
Closest atoms and distances in Å follow each position.
Space group Amm2 (No. 38)
Unique sites:
Tb  0.0000  0.0000  0.0000 (multiplicity 2)  4 Ir 2.99, 1 Cu 3.13, 6 In 3.16-3.34
Ho  0.0000  0.2062  0.3809 (multiplicity 4)  4 Ir 2.97-2.98, 1 Cu 3.14, 2 In 3.16
In  0.5000  0.0000  0.3329 (multiplicity 2)  2 Cu 2.71, 2 Ir 2.89
In  0.5000  0.1277  0.7145 (multiplicity 4)  2 Cu 2.72, 2 Ir 2.86-2.88
Cu  0.0000  0.0000  0.5869 (multiplicity 2)  6 In 2.71-2.72
Ir  0.5000  0.1677  0.0880 (multiplicity 4)  3 In 2.86-2.89, 4 Ho 2.97-2.98, 2 Tb 2.99

**VASP energy**: -98.209 eV per cell



This record from OQMD via LeMat-Bulk describes Ho2TmIn3CuIr2 after structural relaxation. The functional is PBE.

Cell: 3.7315 13.2129 7.6490 Å, 90.00 90.00 90.00°
Closest atoms and distances in Å follow each position.
Space group Amm2 (No. 38)
Unique sites:
Ho  0.0000  0.2060  0.0000 (multiplicity 4)  4 Ir 2.97-2.98, 4 In 3.15-3.32, 1 Cu 3.15
Tm  0.0000  0.0000  0.3827 (multiplicity 2)  4 Ir 2.95, 1 Cu 3.14, 2 In 3.15
In  0.5000  0.0000  0.0508 (multiplicity 2)  2 Cu 2.71, 2 Ir 2.88
In  0.5000  0.1281  0.6656 (multiplicity 4)  2 Cu 2.70, 2 Ir 2.88-2.90
Cu  0.0000  0.0000  0.7937 (multiplicity 2)  6 In 2.70-2.71
Ir  0.5000  0.1656  0.2948 (multiplicity 4)  3 In 2.88-2.90, 2 Tm 2.95, 4 Ho 2.97-2.98

**VASP energy**: -97.936 eV per cell